No. 1
# TeAsRuBr2

Crystalline TeAsRuBr2 at its relaxed geometry (PBE, Alexandria).

```
5
Lattice="5.039 0.000 0.000 0.000 5.039 0.000 0.000 0.000 4.853" Properties=species:S:1:pos:R:3 pbc="T T T"
Te 0.000 0.000 0.000
As 2.519 2.519 0.000
Ru 2.519 2.519 2.427
Br 0.000 2.519 2.427
Br 2.519 0.000 2.427
```

Values from the calculation:
VASP energy (eV/cell): -18.45
Energy above the lowest structure with this stoichiometry (eV per atom): 0.000
Crystal system: tetragonal
Formation energy (no corrections) (kJ/mol of atoms): 37.85

***

No. 2
# SrAgBrO

Crystalline SrAgBrO at its relaxed geometry (PBE, Alexandria).

```
4
Lattice="3.467 -2.003 0.000 3.467 2.003 0.000 -2.300 0.000 7.089" Properties=species:S:1:pos:R:3 pbc="T T T"
Sr 0.000 0.000 0.000
Ag 2.316 0.000 2.842
Br -0.002 0.000 4.519
O 2.312 0.000 0.680
```

Values from the calculation:
VASP energy (eV/cell): -17.04
Crystal system: monoclinic
Formation energy (no corrections) (kJ/mol of atoms): -141.74

***

No. 3
# CaIn2HgSe

Crystalline CaIn2HgSe at its relaxed geometry (PBE, Alexandria).

```
5
Lattice="5.339 0.000 0.000 0.000 5.339 0.000 0.000 0.000 5.951" Properties=species:S:1:pos:R:3 pbc="T T T"
Ca 0.000 0.000 0.000
In 0.000 2.669 2.975
In 2.669 0.000 2.975
Hg 0.000 0.000 2.975
Se 2.669 2.669 0.000
```

Values from the calculation:
VASP energy (eV/cell): -11.45
Crystal system: tetragonal
Formation energy (no corrections) (kJ/mol of atoms): -3.66

***

No. 4
# AcSm2Hg

Crystalline AcSm2Hg at its relaxed geometry (PBE, Alexandria).

```
4
Lattice="1.915 1.106 10.919 -1.915 1.106 10.919 0.000 -2.211 10.919" Properties=species:S:1:pos:R:3 pbc="T T T"
Ac 0.000 0.000 0.000
Sm 0.000 0.000 7.801
Sm 0.000 0.000 14.050
Hg 0.000 0.000 27.311
```

Values from the calculation:
VASP energy (eV/cell): -14.34
ΔH_f (0 K) (eV per atom): -0.123
Energy above the lowest structure with this stoichiometry (eV per atom): 0.094
Crystal system: trigonal

***

No. 5
# ZnSnCl3

Crystalline ZnSnCl3 at its relaxed geometry (PBE, Alexandria).

```
5
Lattice="4.928 0.000 0.000 0.000 4.928 0.000 0.000 0.000 4.928" Properties=species:S:1:pos:R:3 pbc="T T T"
Zn 0.000 0.000 0.000
Sn 2.464 2.464 2.464
Cl 0.000 0.000 2.464
Cl 0.000 2.464 0.000
Cl 2.464 0.000 0.000
```

Values from the calculation:
VASP energy (eV/cell): -13.72
Energy above the lowest structure with this stoichiometry (eV per atom): 0.000
Crystal system: cubic
Formation energy (no corrections) (kJ/mol of atoms): -56.09

***

No. 6
# TaHgPt2

Crystalline TaHgPt2 at its relaxed geometry (PBE, Alexandria).

```
4
Lattice="0.000 3.255 3.255 3.255 0.000 3.255 3.255 3.255 0.000" Properties=species:S:1:pos:R:3 pbc="T T T"
Ta 0.000 0.000 0.000
Hg 1.627 1.627 1.627
Pt 3.255 3.255 3.255
Pt 4.882 4.882 4.882
```

Values from the calculation:
VASP energy (eV/cell): -24.51
ΔH_f (0 K) (eV per atom): -0.067
Crystal system: cubic

***

No. 7
# RbSe3O

Crystalline RbSe3O at its relaxed geometry (PBE, Alexandria).

```
5
Lattice="4.772 0.000 0.000 0.000 4.772 0.000 0.000 0.000 4.772" Properties=species:S:1:pos:R:3 pbc="T T T"
Rb 0.000 0.000 0.000
Se 0.000 2.386 2.386
Se 2.386 0.000 2.386
Se 2.386 2.386 0.000
O 2.386 2.386 2.386
```

Values from the calculation:
VASP energy (eV/cell): -15.92
Energy above the lowest structure with this stoichiometry (eV per atom): 0.000
Crystal system: cubic
Formation energy (no corrections) (kJ/mol of atoms): 8.83

***

No. 8
# MgCr2Br

Crystalline MgCr2Br at its relaxed geometry (PBE, Alexandria).

```
4
Lattice="0.000 3.406 3.406 3.406 0.000 3.406 3.406 3.406 0.000" Properties=species:S:1:pos:R:3 pbc="T T T"
Mg 0.000 0.000 0.000
Cr 1.703 1.703 1.703
Cr 3.406 3.406 3.406
Br 5.108 5.108 5.108
```

Values from the calculation:
VASP energy (eV/cell): -19.93
Energy above the lowest structure with this stoichiometry (eV per atom): 0.463
Crystal system: cubic
Formation energy (no corrections) (kJ/mol of atoms): 62.30

***

| no. | total magnetization (μB/atom) |
| --- | --- |
| 1 | 0.00 |
| 2 | 0.00 |
| 3 | 0.00 |
| 4 | 0.00 |
| 5 | 0.00 |
| 6 | 0.00 |
| 7 | 0.00 |
| 8 | 0.08 |